(1)
Here is Ba2MgOs after structural relaxation from Alexandria. Energies are from PBE.

The space group is Pmmm (No. 47) and the conventional cell measures 3.7321, 3.7756 and 9.3117 Å, with angles of 90.00, 90.00 and 90.00 degrees. The asymmetric unit holds Ba at (0.0000, 0.0000, 0.1987), Mg at (0.5000, 0.5000, 0.5000) and Os at (0.5000, 0.5000, 0.0000).

For the total DFT energy (no corrections), the calculation gives -14.4 eV/f.u. For the energy relative to the elements, the calculation gives 2.2 eV/f.u. The value obtained for the magnetic moment is 0.0 Bohr magnetons per cell.



(2)
Here is BaMg2Os after structural relaxation from Alexandria. Energies are from PBE.

The space group is Cm (No. 8) and the conventional cell measures 8.1678, 4.7075 and 6.3384 Å, with angles of 90.00, 115.49 and 90.00 degrees. The asymmetric unit holds Ba at (0.0000, 0.0000, 0.0000), Mg at (0.0198, 0.5000, 0.5552), Mg at (0.3093, 0.5000, 0.4237) and Os at (0.1882, 0.0000, 0.5600).

For the total DFT energy (no corrections), the calculation gives -15.2 eV/f.u. For the energy relative to the elements, the calculation gives 1.1 eV/f.u. The value obtained for the magnetic moment is 0.0 Bohr magnetons per cell.



(3)
Here is BaMg2Os after structural relaxation from Alexandria. Energies are from PBE.

The space group is P4/mmm (No. 123) and the conventional cell measures 3.3349, 3.3349 and 8.6333 Å, with angles of 90.00, 90.00 and 90.00 degrees. The asymmetric unit holds Ba at (0.0000, 0.0000, 0.0000), Mg at (0.5000, 0.5000, 0.3351) and Os at (0.0000, 0.0000, 0.5000).

For the total DFT energy (no corrections), the calculation gives -14.8 eV/f.u. For the energy relative to the elements, the calculation gives 1.6 eV/f.u. The value obtained for the magnetic moment is 0.6 Bohr magnetons per cell.



(4)
Here is BaMg2Os after structural relaxation from Alexandria. Energies are from PBE.

The space group is Cmmm (No. 65) and the conventional cell measures 6.2898, 8.9567 and 3.1743 Å, with angles of 90.00, 90.00 and 90.00 degrees. The asymmetric unit holds Ba at (0.0000, 0.0000, 0.0000), Mg at (0.2500, 0.2500, 0.5000) and Os at (0.0000, 0.5000, 0.0000).

For the total DFT energy (no corrections), the calculation gives -13.2 eV/f.u. For the energy relative to the elements, the calculation gives 3.1 eV/f.u. The value obtained for the magnetic moment is 1.0 Bohr magnetons per cell.



(5)
Here is BaMgOs2 after structural relaxation from Alexandria. Energies are from PBE.

The space group is P2/m (No. 10) and the conventional cell measures 5.2639, 3.0080 and 5.2981 Å, with angles of 90.00, 110.33 and 90.00 degrees. The asymmetric unit holds Ba at (0.0000, 0.0000, 0.0000), Mg at (0.0000, 0.5000, 0.5000), Os at (0.5000, 0.0000, 0.5000) and Os at (0.5000, 0.5000, 0.0000).

For the total DFT energy (no corrections), the calculation gives -21.2 eV/f.u. For the energy relative to the elements, the calculation gives 4.8 eV/f.u. The value obtained for the magnetic moment is 0.0 Bohr magnetons per cell.



(6)
Here is Ba4MgOs after structural relaxation from Alexandria. Energies are from PBE.

The space group is F-43m (No. 216) and the conventional cell measures 9.7669, 9.7669 and 9.7669 Å, with angles of 90.00, 90.00 and 90.00 degrees. The asymmetric unit holds Ba at (0.1237, 0.1237, 0.3763), Mg at (0.0000, 0.0000, 0.0000) and Os at (0.2500, 0.2500, 0.7500).

For the total DFT energy (no corrections), the calculation gives -13.4 eV/f.u. For the energy relative to the elements, the calculation gives 7.1 eV/f.u. The value obtained for the magnetic moment is 1.2 Bohr magnetons per cell.